AgP2Pb: optimized geometry, GGA-PBEsol.

Calculated values
size of the total moment: 0.0 μB per formula unit
mass density: 7.9 g/cm3
DFT total energy: -4.45 eV/atom

a b c (Å): 3.8821 3.8821 6.4750
angles (deg): 72.56 72.56 60.00
Closest atoms and distances in Å follow each position.
Positions (direct):
P  0.2653  0.2653  0.2040  3 Ag 2.56
Ag  0.0000  0.0000  0.0000  6 P 2.56
P  0.7347  0.7347  0.7960  3 Ag 2.56
Pb  0.5000  0.5000  0.5000  6 P 2.87


AgPPb3: optimized geometry, GGA-PBEsol.

Calculated values
size of the total moment: 0.0 μB per formula unit
mass density: 8.4 g/cm3
DFT total energy: -3.51 eV/atom

a b c (Å): 5.3128 5.3128 5.3128
angles (deg): 90.00 90.00 90.00
Closest atoms and distances in Å follow each position.
Positions (direct):
Ag  0.0000  0.0000  0.0000  6 Pb 2.66
Pb  0.0000  0.0000  0.5000  2 Ag 2.66
Pb  0.5000  0.0000  0.0000  2 Ag 2.66
Pb  0.0000  0.5000  0.0000  2 Ag 2.66
P  0.5000  0.5000  0.5000  12 Pb 3.76


Question: What is the size of the total moment in the second record?
Answer: 0.0 μB per formula unit